Material: PrEr2Tl
Method: DFT, PBE
State: relaxed

abc: 4.923 4.923 4.829
angles: 90.00 90.00 90.00
Space group P4/mmm (No. 123)
Symmetry-distinct sites (fractional):
Pr 0.000 0.000 0.000 (multiplicity 1)
Er 0.000 0.500 0.500 (multiplicity 2)
Tl 0.500 0.500 0.000 (multiplicity 1)

=====

Material: Pr15Er2Tl2
Method: DFT, PBE
State: relaxed

abc: 11.0847 11.0847 18.4728
angles: 90.00 90.00 120.00
Space group R-3m (No. 166, hexagonal axes)
Symmetry-distinct sites (fractional):
Pr 0.0000 0.2901 0.0000 (multiplicity 18)
Pr 0.0000 0.5000 0.5000 (multiplicity 9)
Pr 0.0415 0.5207 0.1263 (multiplicity 18)
Er 0.0000 0.0000 0.3012 (multiplicity 6)
Tl 0.0000 0.0000 0.1012 (multiplicity 6)

=====

Material: PrEr5Tl8
Method: DFT, PBE
State: relaxed

abc: 9.163 9.163 9.534
angles: 90.00 90.00 90.00
Space group I-4 (No. 82)
Symmetry-distinct sites (fractional):
Pr 0.000 0.000 0.000 (multiplicity 2)
Er 0.000 0.500 0.750 (multiplicity 2)
Er 0.134 0.275 0.352 (multiplicity 8)
Tl 0.073 0.162 0.680 (multiplicity 8)
Tl 0.098 0.339 0.031 (multiplicity 8)

=====

Material: Pr3Er2Tl4
Method: DFT, PBE
State: relaxed

abc: 15.656 11.062 6.295
angles: 90.00 95.11 90.00
Space group C2/c (No. 15)
Symmetry-distinct sites (fractional):
Pr 0.000 0.038 0.250 (multiplicity 4)
Pr 0.111 0.400 0.418 (multiplicity 8)
Er 0.222 0.126 0.138 (multiplicity 8)
Tl 0.072 0.289 0.939 (multiplicity 8)
Tl 0.170 0.136 0.622 (multiplicity 8)

=====

Material: Pr3Er2Tl2
Method: DFT, PBE
State: relaxed

abc: 9.616 5.562 8.754
angles: 90.00 111.57 90.00
Space group C2/m (No. 12)
Symmetry-distinct sites (fractional):
Pr 0.000 0.000 0.000 (multiplicity 2)
Pr 0.158 0.000 0.473 (multiplicity 4)
Er 0.073 0.500 0.718 (multiplicity 4)
Tl 0.212 0.500 0.136 (multiplicity 4)

=====

Material: Pr7ErTl3
Method: DFT, PBE
State: relaxed

abc: 11.761 12.252 6.024
angles: 90.00 120.49 90.00
Space group C2/m (No. 12)
Symmetry-distinct sites (fractional):
Pr 0.000 0.000 0.000 (multiplicity 2)
Pr 0.167 0.500 0.167 (multiplicity 4)
Pr 0.178 0.285 0.679 (multiplicity 8)
Er 0.000 0.000 0.500 (multiplicity 2)
Tl 0.000 0.262 0.000 (multiplicity 4)
Tl 0.000 0.500 0.500 (multiplicity 2)

=====

Material: Pr3Er2Tl
Method: DFT, PBE
State: relaxed

abc: 6.628 6.685 10.110
angles: 100.97 99.93 114.29
Space group P-1 (No. 2)
Symmetry-distinct sites (fractional):
Pr 0.106 0.362 0.260 (multiplicity 2)
Pr 0.227 0.441 0.939 (multiplicity 2)
Pr 0.329 0.554 0.619 (multiplicity 2)
Er 0.198 0.941 0.402 (multiplicity 2)
Er 0.288 0.009 0.066 (multiplicity 2)
Tl 0.387 0.119 0.734 (multiplicity 2)

=====

Material: Pr5ErTl4
Method: DFT, PBE
State: relaxed

abc: 3.722 3.722 22.519
angles: 90.00 90.00 90.00
Space group P4/mmm (No. 123)
Symmetry-distinct sites (fractional):
Pr 0.000 0.000 0.000 (multiplicity 1)
Pr 0.000 0.000 0.195 (multiplicity 2)
Pr 0.000 0.000 0.389 (multiplicity 2)
Er 0.500 0.500 0.500 (multiplicity 1)
Tl 0.500 0.500 0.098 (multiplicity 2)
Tl 0.500 0.500 0.292 (multiplicity 2)

=====

Material: PrEr2Tl
Method: DFT, PBE
State: relaxed

abc: 7.765 7.765 7.765
angles: 90.00 90.00 90.00
Space group Fm-3m (No. 225)
Symmetry-distinct sites (fractional):
Pr 0.000 0.000 0.000 (multiplicity 4)
Er 0.250 0.250 0.250 (multiplicity 8)
Tl 0.000 0.000 0.500 (multiplicity 4)

=====

Material: PrEr5Tl6
Method: DFT, PBE
State: relaxed

abc: 9.268 16.146 5.374
angles: 90.00 125.27 90.00
Space group C2/m (No. 12)
Symmetry-distinct sites (fractional):
Pr 0.000 0.000 0.000 (multiplicity 2)
Er 0.000 0.163 0.500 (multiplicity 4)
Er 0.000 0.333 0.000 (multiplicity 4)
Er 0.000 0.500 0.500 (multiplicity 2)
Tl 0.239 0.500 0.239 (multiplicity 4)
Tl 0.244 0.330 0.745 (multiplicity 8)

=====

Material: Pr2Er3Tl3
Method: DFT, PBE
State: relaxed

abc: 4.959 5.064 9.253
angles: 90.00 90.00 90.00
Space group Pmmm (No. 47)
Symmetry-distinct sites (fractional):
Pr 0.000 0.000 0.246 (multiplicity 2)
Er 0.500 0.000 0.500 (multiplicity 1)
Er 0.500 0.500 0.229 (multiplicity 2)
Tl 0.000 0.500 0.000 (multiplicity 1)
Tl 0.000 0.500 0.500 (multiplicity 1)
Tl 0.500 0.000 0.000 (multiplicity 1)

=====

Material: Pr2ErTl3
Method: DFT, PBE
State: relaxed

abc: 3.836 3.836 11.893
angles: 90.00 90.00 90.00
Space group P4/mmm (No. 123)
Symmetry-distinct sites (fractional):
Pr 0.000 0.000 0.173 (multiplicity 2)
Er 0.000 0.000 0.500 (multiplicity 1)
Tl 0.500 0.500 0.000 (multiplicity 1)
Tl 0.500 0.500 0.348 (multiplicity 2)

=====

Material: PrEr8Tl2
Method: DFT, PBE
State: relaxed

abc: 18.789 6.819 5.302
angles: 90.00 93.12 90.00
Space group C2/m (No. 12)
Symmetry-distinct sites (fractional):
Pr 0.000 0.000 0.000 (multiplicity 2)
Er 0.048 0.500 0.239 (multiplicity 4)
Er 0.133 0.260 0.730 (multiplicity 8)
Er 0.198 0.000 0.235 (multiplicity 4)
Tl 0.214 0.500 0.246 (multiplicity 4)

=====

Material: Pr6ErTl5
Method: DFT, PBE
State: relaxed

abc: 5.138 9.181 15.615
angles: 90.00 90.00 90.00
Space group Immm (No. 71)
Symmetry-distinct sites (fractional):
Pr 0.000 0.235 0.000 (multiplicity 4)
Pr 0.000 0.260 0.329 (multiplicity 8)
Er 0.000 0.000 0.500 (multiplicity 2)
Tl 0.000 0.000 0.172 (multiplicity 4)
Tl 0.000 0.500 0.150 (multiplicity 4)
Tl 0.000 0.500 0.500 (multiplicity 2)

=====

Material: Pr3Er3Tl
Method: DFT, PBE
State: relaxed

abc: 9.5756 9.5756 5.6172
angles: 90.00 90.00 120.00
Space group P6_3/m (No. 176)
Symmetry-distinct sites (fractional):
Pr 0.1065 0.6341 0.2500 (multiplicity 6)
Er 0.0573 0.8252 0.7500 (multiplicity 6)
Tl 0.3333 0.6667 0.7500 (multiplicity 2)

=====

Material: PrEr5Tl3
Method: DFT, PBE
State: relaxed

abc: 9.3580 9.3580 6.7173
angles: 90.00 90.00 120.00
Space group P6_3/mcm (No. 193)
Symmetry-distinct sites (fractional):
Pr 0.0000 0.0000 0.0000 (multiplicity 2)
Er 0.0000 0.3296 0.2500 (multiplicity 6)
Er 0.3333 0.6667 0.0000 (multiplicity 4)
Tl 0.0000 0.3417 0.7500 (multiplicity 6)

=====

Material: Pr3Er4Tl
Method: DFT, PBE
State: relaxed

abc: 4.137 4.137 14.680
angles: 90.00 90.00 90.00
Space group P4/mmm (No. 123)
Symmetry-distinct sites (fractional):
Pr 0.000 0.000 0.000 (multiplicity 1)
Pr 0.000 0.000 0.254 (multiplicity 2)
Er 0.500 0.500 0.131 (multiplicity 2)
Er 0.500 0.500 0.390 (multiplicity 2)
Tl 0.000 0.000 0.500 (multiplicity 1)

=====

Material: PrErTl4
Method: DFT, PBE
State: relaxed

abc: 3.826 5.105 8.785
angles: 90.00 90.10 90.00
Space group P2/m (No. 10)
Symmetry-distinct sites (fractional):
Pr 0.000 0.000 0.000 (multiplicity 1)
Er 0.000 0.500 0.500 (multiplicity 1)
Tl 0.346 0.000 0.661 (multiplicity 2)
Tl 0.377 0.500 0.173 (multiplicity 2)

=====

Material: Pr2ErTl2
Method: DFT, PBE
State: relaxed

abc: 8.214 8.214 4.672
angles: 90.00 90.00 90.00
Space group P4/mbm (No. 127)
Symmetry-distinct sites (fractional):
Pr 0.171 0.329 0.000 (multiplicity 4)
Er 0.000 0.000 0.500 (multiplicity 2)
Tl 0.131 0.631 0.500 (multiplicity 4)

=====

Material: Pr5ErTl5
Method: DFT, PBE
State: relaxed

abc: 18.221 5.856 7.248
angles: 90.00 113.31 90.00
Space group C2/m (No. 12)
Symmetry-distinct sites (fractional):
Pr 0.000 0.000 0.000 (multiplicity 2)
Pr 0.139 0.500 0.141 (multiplicity 4)
Pr 0.190 0.500 0.691 (multiplicity 4)
Er 0.000 0.000 0.500 (multiplicity 2)
Tl 0.000 0.500 0.500 (multiplicity 2)
Tl 0.160 0.000 0.436 (multiplicity 4)
Tl 0.160 0.000 0.884 (multiplicity 4)

=====

Q: Which DOS(E_F) values were calculated for the entries above? A: 5.6 63.3 20.9 37.8 14.4 33.0 14.4 12.5 23.7 18.7 8.1 4.4 30.2 25.6 19.7 19.9 11.8 3.2 13.7 26.5, in states/eV/cell.
Q: Which total moment values were calculated for the entries above? A: 0.35 0.00 0.00 0.00 0.00 0.02 0.00 0.00 7.31 0.00 0.00 0.00 0.00 0.00 0.01 0.01 0.00 0.00 0.00 1.07, in Bohr magnetons per cell.
Q: Which calculated formation energy values were calculated for the entries above? A: -0.1742 0.1660 -0.2202 -0.2426 -0.1844 -0.0203 -0.0994 -0.2915 0.0151 -0.3209 -0.2369 -0.3749 0.0069 -0.3019 -0.0736 -0.2504 0.0144 -0.2308 -0.3159 -0.1703, in eV/atom.